1.
A relaxed structure of KReRu. Source: Alexandria, functional PBE.

Lattice parameters (Å, degrees): 5.037 5.037 2.531 90.00 90.00 120.00
Element x y z (fractional)
K1 0.000 0.000 0.000
Re1 0.667 0.333 0.500
Ru1 0.333 0.667 0.500

Values from the calculation:
- crystal system = hexagonal
- E above lowest polymorph (meV/atom) = 720.4
- energy of formation from the pure elements (eV/atom) = 1.58
- V (Å³/f.u.) = 55.61
- SG = No. 187
- total magnetization (μB per atom) = 0.0000

=====

2.
A relaxed structure of AcLa2Cl. Source: Alexandria, functional PBE.

Lattice parameters (Å, degrees): 11.994 11.994 11.994 17.62 17.62 17.62
Element x y z (fractional)
Ac1 0.000 0.000 0.000
La1 0.103 0.103 0.103
La2 0.897 0.897 0.897
Cl1 0.500 0.500 0.500

Values from the calculation:
- crystal system = trigonal
- E above lowest polymorph (meV/atom) = 40.1
- V (Å³/f.u.) = 137.92
- SG = No. 166
- total magnetization (μB per atom) = 0.0002

=====

3.
A relaxed structure of AcCeErAl. Source: Alexandria, functional PBE.

Lattice parameters (Å, degrees): 5.496 5.496 5.496 60.00 60.00 60.00
Element x y z (fractional)
Ac1 0.000 0.000 0.000
Ce1 0.250 0.250 0.250
Er1 0.750 0.750 0.750
Al1 0.500 0.500 0.500

Values from the calculation:
- crystal system = cubic
- energy of formation from the pure elements (eV/atom) = 0.11
- V (Å³/f.u.) = 117.41
- SG = No. 216
- total magnetization (μB per atom) = 0.2373

=====

Please write out number 1 again, unchanged.
A relaxed structure of KReRu. Source: Alexandria, functional PBE.

Lattice parameters (Å, degrees): 5.037 5.037 2.531 90.00 90.00 120.00
Element x y z (fractional)
K1 0.000 0.000 0.000
Re1 0.667 0.333 0.500
Ru1 0.333 0.667 0.500

Values from the calculation:
- crystal system = hexagonal
- E above lowest polymorph (meV/atom) = 720.4
- energy of formation from the pure elements (eV/atom) = 1.58
- V (Å³/f.u.) = 55.61
- SG = No. 187
- total magnetization (μB per atom) = 0.0000

=====

Question: Which of these has the highest total magnetization?
Answer: AcCeErAl

=====

Copy entry 2 word for word.
A relaxed structure of AcLa2Cl. Source: Alexandria, functional PBE.

Lattice parameters (Å, degrees): 11.994 11.994 11.994 17.62 17.62 17.62
Element x y z (fractional)
Ac1 0.000 0.000 0.000
La1 0.103 0.103 0.103
La2 0.897 0.897 0.897
Cl1 0.500 0.500 0.500

Values from the calculation:
- crystal system = trigonal
- E above lowest polymorph (meV/atom) = 40.1
- V (Å³/f.u.) = 137.92
- SG = No. 166
- total magnetization (μB per atom) = 0.0002

=====

Question: Which value of total magnetization does entry 1 give?
Answer: 0.0000 μB per atom